Record 1
Hf2PaRh3 | GGA-PBE | optimized geometry

Its calculated formation energy is -0.74 eV per atom. Its calculated total energy is -9.32 eV per atom. The density of states at the Fermi level is 1.28 states/eV/atom.

The structure belongs to space group Pmmn (No. 59, origin choice 2); the cell edges are 4.703, 14.401 and 3.279 Å and the angles 90.00°, 90.00° and 90.00°. The inequivalent atoms are Hf at (0.250, 0.081, 0.000), Pa at (0.250, 0.750, 0.001), Rh at (0.250, 0.250, 0.498) and Rh at (0.250, 0.573, 0.500).



Record 2
HfPaRh | GGA-PBE | optimized geometry

Its calculated formation energy is -0.21 eV per atom. Its calculated total energy is -9.14 eV per atom. The density of states at the Fermi level is 1.35 states/eV/atom. As for the distance to the lowest polymorph of the same formula: 20.8 kJ per mole of atoms.

The structure belongs to space group P3m1 (No. 156); the cell edges are 4.7277, 4.7277 and 3.1393 Å and the angles 90.00°, 90.00° and 120.00°. The inequivalent atoms are Hf at (0.0000, 0.0000, 0.0000), Pa at (0.6667, 0.3333, 0.3988) and Rh at (0.3333, 0.6667, 0.6581).



Record 3
HfPa2Rh | GGA-PBE | optimized geometry

Its calculated formation energy is 0.05 eV per atom. Its calculated total energy is -9.02 eV per atom. The density of states at the Fermi level is 1.50 states/eV/atom. As for the distance to the lowest polymorph of the same formula: 20.2 kJ per mole of atoms.

The structure belongs to space group R-3m (No. 166, hexagonal axes); the cell edges are 3.1078, 3.1078 and 31.5726 Å and the angles 90.00°, 90.00° and 120.00°. The inequivalent atoms are Hf at (0.0000, 0.0000, 0.0000), Pa at (0.0000, 0.0000, 0.0931) and Rh at (0.0000, 0.0000, 0.5000).



Record 4
HfPa3Rh12 | GGA-PBE | optimized geometry

Its calculated formation energy is -0.86 eV per atom. Its calculated total energy is -8.78 eV per atom. The density of states at the Fermi level is 0.90 states/eV/atom.

The structure belongs to space group P4/mmm (No. 123); the cell edges are 4.032, 4.032 and 16.095 Å and the angles 90.00°, 90.00° and 90.00°. The inequivalent atoms are Hf at (0.000, 0.000, 0.000), Pa at (0.000, 0.000, 0.246), Pa at (0.000, 0.000, 0.500), Rh at (0.000, 0.500, 0.121), Rh at (0.000, 0.500, 0.373), Rh at (0.500, 0.500, 0.000), Rh at (0.500, 0.500, 0.247) and Rh at (0.500, 0.500, 0.500).